Li11Hg9Au4 | PBE-GGA | optimized geometry

Its total DFT energy (no corrections) is -92.41 eV per cell. The calculation puts the density of states at the Fermi level at 5.74 states/eV/f.u.

It has space group Cmmm (No. 65), with a = 13.9750 Å, b = 20.5361 Å, c = 3.0663 Å, α = 90.00°, β = 90.00° and γ = 90.00°. The asymmetric unit holds Li at (0.0000, 0.0000, 0.0000), Li at (0.0000, 0.1598, 0.0000), Li at (0.0000, 0.3671, 0.0000), Li at (0.2133, 0.5000, 0.0000), Li at (0.2387, 0.1761, 0.0000), Hg at (0.0000, 0.5000, 0.5000), Hg at (0.1110, 0.2569, 0.5000), Hg at (0.1333, 0.0783, 0.5000) and Au at (0.1525, 0.4003, 0.5000).